The following is a PBE-GGA calculation of a relaxed Pr2Ge3AsPd4 crystal, from Alexandria.

Output
density of states at the Fermi level	0.621	states/eV per atom
ΔE_f	-798	kJ/mol of formula units
total moment	0.0	μB/cell

The structure in CIF format:
```
data_Pr2Ge3AsPd4
_symmetry_space_group_name_H-M 'P -4 m 2'
_symmetry_Int_Tables_number 115
_cell_length_a 4.415
_cell_length_b 4.415
_cell_length_c 10.074
_cell_angle_alpha 90.00
_cell_angle_beta 90.00
_cell_angle_gamma 90.00
loop_
_symmetry_equiv_pos_as_xyz
'x,y,z'
'y,-x,-z'
'-x,-y,z'
'-y,x,-z'
'-x,y,z'
'-y,-x,-z'
'x,-y,z'
'y,x,-z'
loop_
_atom_site_label
_atom_site_fract_x
_atom_site_fract_y
_atom_site_fract_z
Pr1 0.000 0.500 0.248
Ge1 0.000 0.000 0.000
Ge2 0.000 0.500 0.627
As1 0.500 0.500 0.000
Pd1 0.000 0.000 0.500
Pd2 0.000 0.500 0.873
Pd3 0.500 0.500 0.500
```


The following is a PBE-GGA calculation of a relaxed MnBe2ReC crystal, from Alexandria.

Output
density of states at the Fermi level	0.538	states/eV per atom
ΔE_f	1126	kJ/mol of formula units
total moment	3.3	μB/cell

The structure in CIF format:
```
data_MnBe2ReC
_symmetry_space_group_name_H-M 'P 4/m m m'
_symmetry_Int_Tables_number 123
_symmetry_space_group_name_Hall '-P 4 2'
_cell_length_a 4.245
_cell_length_b 4.245
_cell_length_c 4.544
_cell_angle_alpha 90.00
_cell_angle_beta 90.00
_cell_angle_gamma 90.00
loop_
_atom_site_label
_atom_site_fract_x
_atom_site_fract_y
_atom_site_fract_z
Mn1 0.000 0.000 0.000
Be1 0.000 0.500 0.500
Re1 0.000 0.000 0.500
C1 0.500 0.500 0.000
```


The following is a PBE-GGA calculation of a relaxed KGa2Sn crystal, from Alexandria.

Output
density of states at the Fermi level	0.527	states/eV per atom
ΔE_f	-20	kJ/mol of formula units
total moment	0.0	μB/cell

The structure in CIF format:
```
data_KGa2Sn
_symmetry_space_group_name_H-M 'P 4/m m m'
_symmetry_Int_Tables_number 123
_symmetry_space_group_name_Hall '-P 4 2'
_cell_length_a 3.745
_cell_length_b 3.745
_cell_length_c 7.836
_cell_angle_alpha 90.00
_cell_angle_beta 90.00
_cell_angle_gamma 90.00
loop_
_atom_site_label
_atom_site_fract_x
_atom_site_fract_y
_atom_site_fract_z
K1 0.000 0.000 0.000
Ga1 0.500 0.500 0.310
Sn1 0.000 0.000 0.500
```


The following is a PBE-GGA calculation of a relaxed SrFeN2 crystal, from Alexandria.

Output
density of states at the Fermi level	0.312	states/eV per atom
total moment	0.0	μB/cell
raw formation energy	0.956	eV per atom

The structure in CIF format:
```
data_SrFeN2
_symmetry_space_group_name_H-M 'F m -3 m'
_symmetry_Int_Tables_number 225
_symmetry_space_group_name_Hall '-F 4 2 3'
_cell_length_a 5.727
_cell_length_b 5.727
_cell_length_c 5.727
_cell_angle_alpha 90.00
_cell_angle_beta 90.00
_cell_angle_gamma 90.00
loop_
_atom_site_label
_atom_site_fract_x
_atom_site_fract_y
_atom_site_fract_z
Sr1 0.000 0.000 0.000
Fe1 0.000 0.000 0.500
N1 0.250 0.250 0.250
```


The following is a PBE-GGA calculation of a relaxed HfNbHgSb2 crystal, from Alexandria.

Output
density of states at the Fermi level	1.305	states/eV per atom
total moment	2.3	μB/cell
raw formation energy	1.490	eV per atom

The structure in CIF format:
```
data_HfNbHgSb2
_symmetry_space_group_name_H-M 'P 4/m m m'
_symmetry_Int_Tables_number 123
_symmetry_space_group_name_Hall '-P 4 2'
_cell_length_a 5.377
_cell_length_b 5.377
_cell_length_c 5.264
_cell_angle_alpha 90.00
_cell_angle_beta 90.00
_cell_angle_gamma 90.00
loop_
_atom_site_label
_atom_site_fract_x
_atom_site_fract_y
_atom_site_fract_z
Hf1 0.000 0.000 0.000
Nb1 0.500 0.500 0.000
Hg1 0.000 0.000 0.500
Sb1 0.000 0.500 0.500
```


The following is a PBE-GGA calculation of a relaxed AcSnGe2 crystal, from Alexandria.

Output
density of states at the Fermi level	0.531	states/eV per atom
ΔE_f	-107	kJ/mol of formula units
total moment	0.0	μB/cell
distance to the lowest polymorph of the same formula	11.8	kJ per mole of atoms

The structure in CIF format:
```
data_AcSnGe2
_symmetry_space_group_name_H-M 'P 4/m m m'
_symmetry_Int_Tables_number 123
_symmetry_space_group_name_Hall '-P 4 2'
_cell_length_a 3.930
_cell_length_b 3.930
_cell_length_c 6.724
_cell_angle_alpha 90.00
_cell_angle_beta 90.00
_cell_angle_gamma 90.00
loop_
_atom_site_label
_atom_site_fract_x
_atom_site_fract_y
_atom_site_fract_z
Ac1 0.000 0.000 0.000
Sn1 0.000 0.000 0.500
Ge1 0.500 0.500 0.303
```